Y2ScZn2 | GGA-PBE | relaxed

Computed properties:
density	5.0	Mg/m³
E_form	-0.21	eV/atom

a = 3.4962 Å, b = 19.9414 Å, c = 3.3935 Å
α = 90.00°, β = 90.00°, γ = 90.00°
Last column: nearest neighbours and their distance in Å.
Space group Cmmm (No. 65)
Symmetry-distinct sites (fractional):
Y1 0.0000 0.1723 0.0000  4 Zn 3.09, 2 Y 3.39, 1 Sc 3.44
Sc1 0.0000 0.0000 0.0000  8 Zn 2.88
Zn1 0.0000 0.4228 0.5000  4 Sc 2.88, 1 Zn 3.08, 4 Y 3.09